[1]
Here is an optimized crystal structure of MgScGaRh2 from the Alexandria database. Energies are from PBE-GGA.

Structure (POSCAR):
```
MgScGaRh2
1.0
-0.968 1.469 4.251
2.137 -3.962 1.855
4.019 2.234 0.143
Sc Ga Rh Mg
1 1 2 1
Direct
0.000 0.500 0.000 Sc
0.000 0.000 0.000 Ga
0.500 0.000 0.000 Rh
0.000 0.000 0.500 Rh
0.500 0.500 0.500 Mg
```

Values from the calculation:
* final energy: -4.95 eV per atom
* DFT formation energy: 182 meV/atom

***

[2]
Here is an optimized crystal structure of MgSc2GaRh4 from the Alexandria database. Energies are from PBE-GGA.

Structure (POSCAR):
```
MgSc2GaRh4
1.0
4.455 0.000 0.000
2.228 3.858 0.000
2.228 1.286 7.248
Rh Sc Mg Ga
4 2 1 1
Direct
0.127 0.127 0.620 Rh
0.873 0.873 0.380 Rh
0.377 0.377 0.869 Rh
0.623 0.623 0.131 Rh
0.751 0.751 0.748 Sc
0.249 0.249 0.252 Sc
0.000 0.000 0.000 Mg
0.500 0.500 0.500 Ga
```

Values from the calculation:
* final energy: -6.73 eV per atom
* DFT formation energy: -895 meV/atom

***

[3]
Here is an optimized crystal structure of MgGaRhSe2 from the Alexandria database. Energies are from PBE-GGA.

Structure (POSCAR):
```
MgGaRhSe2
1.0
-0.140 4.759 1.289
-3.402 0.853 -3.520
-3.592 -0.981 3.234
Se Ga Mg Rh
2 1 1 1
Direct
0.000 0.000 0.500 Se
0.500 0.000 0.000 Se
0.000 0.500 0.000 Ga
0.000 0.000 0.000 Mg
0.500 0.500 0.500 Rh
```

Values from the calculation:
* final energy: -3.18 eV per atom
* formation energy from raw total energies: 0.608 eV per atom

***

Among the records above, which one has the highest final energy? MgGaRhSe2

***

Repeat the first record exactly.
Here is an optimized crystal structure of MgScGaRh2 from the Alexandria database. Energies are from PBE-GGA.

Structure (POSCAR):
```
MgScGaRh2
1.0
-0.968 1.469 4.251
2.137 -3.962 1.855
4.019 2.234 0.143
Sc Ga Rh Mg
1 1 2 1
Direct
0.000 0.500 0.000 Sc
0.000 0.000 0.000 Ga
0.500 0.000 0.000 Rh
0.000 0.000 0.500 Rh
0.500 0.500 0.500 Mg
```

Values from the calculation:
* final energy: -4.95 eV per atom
* DFT formation energy: 182 meV/atom

***

Copy entry 3 word for word.
Here is an optimized crystal structure of MgGaRhSe2 from the Alexandria database. Energies are from PBE-GGA.

Structure (POSCAR):
```
MgGaRhSe2
1.0
-0.140 4.759 1.289
-3.402 0.853 -3.520
-3.592 -0.981 3.234
Se Ga Mg Rh
2 1 1 1
Direct
0.000 0.000 0.500 Se
0.500 0.000 0.000 Se
0.000 0.500 0.000 Ga
0.000 0.000 0.000 Mg
0.500 0.500 0.500 Rh
```

Values from the calculation:
* final energy: -3.18 eV per atom
* formation energy from raw total energies: 0.608 eV per atom

***

Which value of final energy does entry 1 give? -4.95 eV per atom